Density functional theory data (GGA+U) for a relaxed structure of BeVInF6.

Summary:
VASP energy: -5.5065 eV/atom
symmetry: P1

Unit cell a=5.318 b=5.525 c=6.131 alpha=90.56 beta=86.84 gamma=54.44
Last column: magnetic moment on the atom in μB.
Fractional coordinates of all 9 atoms:
F1 0.596 0.045 0.354  0.00
F2 0.248 0.837 0.393  -0.01
F3 0.608 0.375 0.646  0.01
F4 0.081 0.474 0.582  0.00
F5 0.506 0.971 0.728  0.00
In1 0.028 0.955 0.039  -0.01
F6 0.841 0.439 0.205  0.00
Be1 0.436 0.238 0.579  0.00
V1 0.655 0.665 0.474  1.91